Density functional theory data (GGA-PBE) for a relaxed structure of La2Tm2Th3.

E: -40.55 eV for the cell shown
calculated formation energy: 72 meV per atom
D(E_F): 12.424 states/eV/cell
symmetry: No. 65

The structure in POSCAR format:
```
La2Tm2Th3
1.0
1.776 -18.395 0.000
1.776 18.395 0.000
0.000 0.000 3.565
La Tm Th
2 2 3
Direct
0.208 0.792 0.000 La
0.792 0.208 0.000 La
0.365 0.635 0.500 Tm
0.635 0.365 0.500 Tm
0.068 0.932 0.000 Th
0.500 0.500 0.500 Th
0.932 0.068 0.000 Th
```